<i>
# LaPrTm2

A geometry-optimized LaPrTm2 structure (PBE, Alexandria).

```
LaPrTm2
1.0
6.894 1.103 1.594
-2.333 6.581 -1.594
-2.333 -3.811 5.597
La Pr Tm
2 2 4
Cartesian
1.115 4.534 1.001
0.000 0.000 0.000
1.115 -0.662 4.596
-2.333 1.385 2.001
-1.747 -1.556 3.299
5.143 4.736 1.297
1.700 1.589 2.301
-0.637 2.976 4.296
```

## Properties
symmetry = I-42d (122)
spin magnetization = 0.00 μB/f.u.



<ii>
# LaPrTm2

A geometry-optimized LaPrTm2 structure (PBE, Alexandria).

```
LaPrTm2
1.0
5.752 0.000 0.000
2.876 4.982 0.000
2.876 1.661 4.697
Pr Tm La
1 2 1
Cartesian
0.000 0.000 0.000
2.876 1.661 1.174
8.628 4.982 3.523
5.752 3.321 2.348
```

## Properties
symmetry = Fm-3m (225)
spin magnetization = 0.00 μB/f.u.



Need the numbers? Relative energies in meV per atom: <i> 332; <ii> 0.



<i>
# La2Pr7Tm3

A geometry-optimized La2Pr7Tm3 structure (PBE, Alexandria).

```
La2Pr7Tm3
1.0
-0.856 -3.300 -1.166
4.182 0.681 -4.999
16.052 -6.378 6.261
La Pr Tm
2 7 3
Cartesian
7.428 -3.341 -1.568
11.950 -5.656 1.663
8.672 -4.713 1.401
10.706 -4.284 -1.306
4.948 -0.663 -1.757
0.000 0.000 0.000
15.287 -5.034 3.018
16.819 -6.300 -0.089
2.559 -2.696 0.184
1.663 -1.309 -3.083
5.964 -2.101 1.565
14.271 -3.596 -0.304
```

## Properties
symmetry = P2/m (10)
spin magnetization = 0.00 μB/f.u.



<ii>
# La2Pr7Tm3

A geometry-optimized La2Pr7Tm3 structure (PBE, Alexandria).

```
La2Pr7Tm3
1.0
-3.253 1.566 0.647
0.444 -1.468 5.785
8.677 17.070 2.315
La Pr Tm
2 7 3
Cartesian
1.280 4.864 5.061
4.588 12.304 3.687
2.738 7.632 5.689
3.130 9.535 3.058
1.539 1.457 4.211
0.000 0.000 0.000
7.582 14.145 3.889
5.860 13.574 7.007
0.008 3.593 1.740
-1.404 0.049 3.216
3.306 6.003 2.093
5.815 9.598 6.007
```

## Properties
symmetry = P2/m (10)
spin magnetization = 0.00 μB/f.u.



Need the numbers? Relative energies in meV per atom: <i> 0; <ii> 27.



<i>
# LaPrTm6

A geometry-optimized LaPrTm6 structure (PBE, Alexandria).

```
LaPrTm6
1.0
-3.449 -3.023 2.058
5.002 -4.897 1.190
1.287 2.865 6.368
La Pr Tm
1 1 6
Cartesian
1.420 -2.528 4.808
-1.725 -1.512 1.029
-1.081 -0.079 4.213
0.776 -3.960 1.624
1.565 -0.506 1.881
4.724 -1.526 5.677
4.077 -2.966 2.478
2.211 0.934 5.079
```

## Properties
symmetry = P4/mmm (123)
spin magnetization = 0.00 μB/f.u.



<ii>
# LaPrTm6

A geometry-optimized LaPrTm6 structure (PBE, Alexandria).

```
LaPrTm6
1.0
8.607 0.000 0.000
4.304 7.454 0.000
4.304 2.485 4.400
La Pr Tm
1 1 6
Cartesian
0.000 0.000 0.000
8.607 4.969 2.200
14.481 8.360 3.629
11.341 8.360 3.629
4.304 4.297 0.770
5.873 1.578 0.770
2.734 1.578 0.770
12.911 5.642 3.629
```

## Properties
symmetry = R-3m (166)
spin magnetization = 0.00 μB/f.u.



Need the numbers? Relative energies in meV per atom: <i> 0; <ii> 523.



<i>
# La5PrTm4

A geometry-optimized La5PrTm4 structure (PBE, Alexandria).

```
La5PrTm4
1.0
-0.745 -0.868 -3.524
3.619 -0.446 -0.655
-1.822 -24.023 6.303
La Pr Tm
5 1 4
Cartesian
1.245 -3.193 -1.424
0.884 -7.950 -0.176
0.526 -12.669 1.062
0.169 -17.387 2.300
-0.192 -22.144 3.548
0.000 0.000 0.000
-0.374 -4.928 1.293
-0.732 -9.652 2.532
-1.090 -14.371 3.770
-1.448 -19.095 5.010
```

## Properties
symmetry = P4/mmm (123)
spin magnetization = 0.00 μB/f.u.



<ii>
# La5PrTm4

A geometry-optimized La5PrTm4 structure (PBE, Alexandria).

```
La5PrTm4
1.0
-0.551 -3.110 1.787
7.845 1.365 7.993
-7.886 3.781 2.464
La Pr Tm
5 1 4
Cartesian
1.416 1.683 5.834
4.210 -1.164 8.870
-4.801 3.200 3.374
3.647 -0.872 4.890
-2.007 0.354 6.410
-0.276 -1.555 0.893
-2.554 0.419 2.766
0.112 -1.412 4.226
1.963 1.617 9.478
-0.704 3.449 8.018
```

## Properties
symmetry = P-1 (2)
spin magnetization = 0.00 μB/f.u.



Need the numbers? Relative energies in meV per atom: <i> 0; <ii> 36.



<i>
# La4Pr3Tm4

A geometry-optimized La4Pr3Tm4 structure (PBE, Alexandria).

```
La4Pr3Tm4
1.0
5.794 0.000 0.000
-2.897 5.643 0.000
0.000 0.000 11.731
La Pr Tm
4 3 4
Cartesian
2.897 2.738 9.146
2.897 2.738 2.585
2.897 5.270 5.865
2.897 5.016 0.000
0.000 4.419 3.753
0.000 4.419 7.977
0.000 2.822 0.000
2.897 1.678 5.865
2.897 0.661 0.000
0.000 0.910 8.761
0.000 0.910 2.970
```

## Properties
symmetry = Amm2 (38)
spin magnetization = 0.00 μB/f.u.



<ii>
# La4Pr3Tm4

A geometry-optimized La4Pr3Tm4 structure (PBE, Alexandria).

```
La4Pr3Tm4
1.0
3.652 -0.004 -0.310
-0.052 5.104 -0.639
-0.119 -0.061 20.183
La Pr Tm
4 3 4
Cartesian
1.957 2.780 1.357
1.525 2.260 17.878
2.865 4.128 11.995
0.616 0.912 7.240
2.260 3.230 4.924
1.222 1.810 14.311
0.000 0.000 0.000
0.311 0.458 3.644
0.913 1.352 10.696
2.568 3.688 8.539
3.171 4.582 15.591
```

## Properties
symmetry = P-1 (2)
spin magnetization = 0.00 μB/f.u.



Need the numbers? Relative energies in meV per atom: <i> 151; <ii> 0.



<i>
# La2Pr5Tm2

A geometry-optimized La2Pr5Tm2 structure (PBE, Alexandria).

```
La2Pr5Tm2
1.0
12.068 0.000 0.000
0.000 6.963 0.000
-6.034 -3.482 7.578
La Pr Tm
4 10 4
Cartesian
0.039 3.897 1.904
5.995 0.415 5.674
5.995 0.415 1.904
0.039 3.897 5.674
-3.024 1.463 6.771
9.058 4.944 0.808
-3.010 -2.019 6.771
9.044 1.463 0.808
2.826 -0.860 2.167
3.208 2.622 5.411
3.208 2.622 2.167
2.826 -0.860 5.411
-2.928 2.866 3.789
8.962 -0.615 3.789
0.000 0.217 0.000
6.034 3.699 0.000
0.105 0.701 3.789
5.928 4.182 3.789
```

## Properties
symmetry = Ima2 (46)
spin magnetization = 0.00 μB/f.u.



<ii>
# La2Pr5Tm2

A geometry-optimized La2Pr5Tm2 structure (PBE, Alexandria).

```
La2Pr5Tm2
1.0
5.713 -0.772 -2.667
-3.256 5.225 1.563
-3.979 2.482 13.410
La Pr Tm
2 5 2
Cartesian
-2.071 6.354 8.754
0.549 0.580 3.552
-0.088 3.423 1.340
-1.434 3.511 10.966
-2.014 2.939 7.367
0.492 3.995 4.938
0.000 0.000 0.000
-4.626 5.324 11.180
3.103 1.610 1.126
```

## Properties
symmetry = C2/m (12)
spin magnetization = 0.00 μB/f.u.



Need the numbers? Relative energies in meV per atom: <i> 177; <ii> 0.



<i>
# LaPr2Tm5

A geometry-optimized LaPr2Tm5 structure (PBE, Alexandria).

```
LaPr2Tm5
1.0
0.473 2.129 -2.807
7.108 -7.410 -4.422
-8.777 -0.305 0.536
La Pr Tm
1 2 5
Cartesian
0.000 0.000 0.000
0.979 -5.227 -3.800
-2.174 -0.359 -2.893
3.554 -3.705 -2.211
0.851 -1.726 -3.417
-2.046 -3.860 -3.276
4.098 -5.111 -5.437
-5.293 -0.475 -1.256
```

## Properties
symmetry = Immm (71)
spin magnetization = 0.00 μB/f.u.



<ii>
# LaPr2Tm5

A geometry-optimized LaPr2Tm5 structure (PBE, Alexandria).

```
LaPr2Tm5
1.0
-0.232 0.117 -7.199
-7.200 -0.069 0.230
3.671 4.942 3.567
La Pr Tm
1 2 5
Cartesian
-0.020 2.203 0.037
-3.620 2.172 0.152
-0.136 2.266 -3.563
1.698 4.735 -1.778
1.814 4.677 1.819
-1.900 4.701 -1.663
-1.784 4.642 1.934
-3.736 2.233 -3.448
```

## Properties
symmetry = I4mm (107)
spin magnetization = 0.00 μB/f.u.



Need the numbers? Relative energies in meV per atom: <i> 20; <ii> 0.



<i>
# La4Pr2Tm5

A geometry-optimized La4Pr2Tm5 structure (PBE, Alexandria).

```
La4Pr2Tm5
1.0
3.541 0.000 0.000
0.000 8.578 -1.763
-1.771 -5.320 13.527
La Pr Tm
4 2 5
Cartesian
1.771 3.173 1.572
0.000 5.925 -0.192
0.000 0.085 10.192
1.771 -2.668 11.956
1.771 2.973 5.015
0.000 0.285 6.749
0.000 5.771 3.490
1.771 -2.513 8.274
0.000 0.425 3.167
1.771 0.000 0.000
1.771 2.833 8.597
```

## Properties
symmetry = C2/m (12)
spin magnetization = 0.00 μB/f.u.



<ii>
# La4Pr2Tm5

A geometry-optimized La4Pr2Tm5 structure (PBE, Alexandria).

```
La4Pr2Tm5
1.0
5.582 0.000 -1.362
-0.318 6.593 -1.303
-0.544 1.847 9.891
La Pr Tm
4 2 5
Cartesian
1.086 7.177 4.451
4.709 6.465 7.184
3.634 1.263 2.775
0.010 1.975 0.043
1.654 4.378 6.781
3.066 4.062 0.446
3.901 5.011 3.869
0.819 3.428 3.357
4.411 2.143 5.959
2.791 0.000 -0.681
0.309 6.297 1.267
```

## Properties
symmetry = C2/m (12)
spin magnetization = 0.00 μB/f.u.



Need the numbers? Relative energies in meV per atom: <i> 34; <ii> 0.



<i>
# LaPr4Tm3

A geometry-optimized LaPr4Tm3 structure (PBE, Alexandria).

```
LaPr4Tm3
1.0
-2.884 -5.566 1.012
5.566 -3.495 -3.361
5.552 -1.013 10.247
La Pr Tm
2 8 6
Cartesian
1.660 -2.116 -1.109
4.400 -6.288 3.672
4.432 -3.797 -2.776
-1.165 -4.109 0.225
-0.711 -6.176 3.202
4.820 -5.994 0.046
7.164 -4.414 2.360
1.675 -4.518 5.323
7.670 -6.514 5.306
1.991 -6.669 8.189
1.590 -5.767 -1.431
2.007 -7.877 1.481
2.119 -4.261 1.761
4.465 -2.648 3.997
4.902 -4.769 6.898
4.776 -8.382 6.591
```

## Properties
symmetry = Pmn2_1 (31)
spin magnetization = 0.00 μB/f.u.



<ii>
# LaPr4Tm3

A geometry-optimized LaPr4Tm3 structure (PBE, Alexandria).

```
LaPr4Tm3
1.0
-0.377 3.462 -0.451
-11.736 -1.278 0.001
5.965 -0.252 6.747
Pr Tm La
4 3 1
Cartesian
-2.995 0.297 4.783
-3.153 1.635 1.514
-9.008 0.997 1.514
2.860 0.935 4.783
-5.868 -0.639 0.000
-0.044 0.404 3.135
-6.104 1.528 3.162
-0.188 1.731 -0.225
```

## Properties
symmetry = Immm (71)
spin magnetization = 0.00 μB/f.u.



Need the numbers? Relative energies in meV per atom: <i> 0; <ii> 101.



<i>
# LaPr2Tm3

A geometry-optimized LaPr2Tm3 structure (PBE, Alexandria).

```
LaPr2Tm3
1.0
0.408 -10.320 -0.893
3.420 -9.729 1.062
-3.092 -14.605 9.184
La Pr Tm
2 4 6
Cartesian
1.121 -16.520 3.273
-0.385 -18.135 6.081
0.120 -4.245 1.099
0.616 -30.410 8.254
0.276 -12.990 3.506
0.460 -21.664 5.848
3.103 -20.863 1.533
-2.367 -13.791 7.821
0.943 -7.927 0.946
-0.207 -26.728 8.407
-0.509 -9.549 3.674
1.245 -25.105 5.679
```

## Properties
symmetry = C2/m (12)
spin magnetization = 0.00 μB/f.u.



<ii>
# LaPr2Tm3

A geometry-optimized LaPr2Tm3 structure (PBE, Alexandria).

```
LaPr2Tm3
1.0
3.529 0.000 0.000
1.765 8.980 0.123
1.765 2.233 12.801
La Pr Tm
2 4 6
Cartesian
3.529 5.722 8.317
3.529 5.491 4.607
5.294 6.300 11.347
1.765 4.913 1.578
3.529 2.600 6.843
3.529 8.612 6.081
1.765 2.879 10.224
5.294 8.334 2.700
5.294 9.616 12.563
1.765 1.597 0.361
5.294 8.969 9.160
1.765 2.243 3.764
```

## Properties
symmetry = C2/m (12)
spin magnetization = 0.00 μB/f.u.



Need the numbers? Relative energies in meV per atom: <i> 0; <ii> 112.



<i>
# LaPr5Y5

A geometry-optimized LaPr5Y5 structure (PBE, Alexandria).

```
LaPr5Y5
1.0
-2.558 -4.597 -3.429
5.190 -1.104 3.360
-6.502 -3.111 9.021
La Pr Y
1 5 5
Cartesian
2.607 -2.269 1.097
-3.238 -3.317 3.912
-1.713 -0.820 2.377
-1.957 -6.093 3.879
-4.484 -5.555 2.243
-4.789 -2.291 6.645
-1.036 -3.940 0.305
-5.417 -6.037 6.384
0.457 -3.297 4.080
-1.745 -4.351 7.135
0.000 0.000 0.000
```

## Properties
symmetry = P-6m2 (187)
spin magnetization = 0.00 μB/f.u.



<ii>
# LaPr5Y5

A geometry-optimized LaPr5Y5 structure (PBE, Alexandria).

```
LaPr5Y5
1.0
6.211 0.000 0.000
-3.106 5.379 0.000
0.000 0.000 12.002
La Pr Y
1 5 5
Cartesian
0.000 3.586 0.000
3.106 1.793 1.863
3.106 1.793 10.140
0.000 3.586 3.834
0.000 3.586 8.168
0.000 0.000 0.000
1.547 0.893 6.001
0.000 0.000 3.158
3.106 3.592 6.001
4.664 0.893 6.001
6.211 0.000 8.844
```

## Properties
symmetry = P-6m2 (187)
spin magnetization = 0.00 μB/f.u.



Need the numbers? Relative energies in meV per atom: <i> 14; <ii> 0.